Entry from Alexandria: an optimized crystal structure of Ac3ZnGe3 (PBE).

Calculated values
- Energy above the lowest structure with this stoichiometry: 0.000 eV/atom

a b c (Å): 4.3069 4.6886 19.5565
angles (deg): 90.00 90.00 90.00
Closest atoms and distances in Å follow each position.
Space group Imm2 (No. 44)
Symmetry-distinct sites (fractional):
1 Ac 0.0000 0.0000 0.0000 x2  2 Zn 3.27, 5 Ge 3.31-3.40
2 Ac 0.0000 0.0000 0.3662 x2  7 Ge 3.28-3.51
3 Ac 0.0000 0.5000 0.6865 x2  8 Ge 3.38-3.62, 4 Zn 3.47
4 Zn 0.0000 0.5000 0.1164 x2  3 Ge 2.51-2.56
5 Ge 0.0000 0.0000 0.5455 x2  2 Zn 2.56
6 Ge 0.0000 0.0000 0.8262 x2  2 Ge 2.68
7 Ge 0.0000 0.5000 0.2449 x2  1 Zn 2.51, 2 Ge 2.68

Entry from Alexandria: an optimized crystal structure of Dy2InAu (PBE).

a b c (Å): 3.6081 3.6081 7.6882
angles (deg): 90.00 90.00 90.00
Closest atoms and distances in Å follow each position.
Space group P4/mmm (No. 123)
Symmetry-distinct sites (fractional):
1 Dy 0.0000 0.0000 0.2312 x2  4 Au 3.11, 4 In 3.28
2 In 0.5000 0.5000 0.5000 x1  8 Dy 3.28, 4 In 3.61
3 Au 0.5000 0.5000 0.0000 x1  8 Dy 3.11

Entry from Alexandria: an optimized crystal structure of CeGe2Bi (PBE).

a b c (Å): 4.8776 4.8776 21.2030
angles (deg): 90.00 90.00 120.00
Closest atoms and distances in Å follow each position.
Space group R-3m (No. 166, hexagonal axes)
Symmetry-distinct sites (fractional):
1 Ce 0.0000 0.0000 0.0000 x3  6 Ge 2.94
2 Ge 0.0000 0.0000 0.3730 x6  1 Bi 2.69, 3 Ce 2.94
3 Bi 0.0000 0.0000 0.5000 x3  2 Ge 2.69

Calculated formation energy values (in kJ/mol of atoms) by entry order: -62; -65; 26.
Total magnetic moment values (in μB/f.u.) by entry order: 0.6; 0.0; 0.9.
Final energy values (in eV per atom) by entry order: -4.57; -4.47; -4.50.